The following is a DFT calculation (meta-GGA SCAN) of a crystal of Cr2NiOs relaxed with PBEsol.

Cell lengths 2.5900, 2.5900, 24.8422 Å; angles 90.00, 90.00, 120.00 degrees
Space group R-3m (No. 166, hexagonal axes)
One atom of each set of equivalent atoms:
Cr  0.0000  0.0000  0.2478
Ni  0.0000  0.0000  0.5000
Os  0.0000  0.0000  0.0000

Values from the calculation:
VASP energy   -30.96 eV/atom

The following is a DFT calculation (meta-GGA SCAN) of a crystal of La2OsAu relaxed with PBEsol.

Cell lengths 4.1869, 4.1869, 21.0348 Å; angles 90.00, 90.00, 120.00 degrees
Space group R-3m (No. 166, hexagonal axes)
One atom of each set of equivalent atoms:
La  0.0000  0.0000  0.2385
Os  0.0000  0.0000  0.5000
Au  0.0000  0.0000  0.0000

Values from the calculation:
VASP energy   -57.27 eV/atom

The following is a DFT calculation (meta-GGA SCAN) of a crystal of Rb2NaTbF6 relaxed with PBEsol.

Cell lengths 8.8469, 8.8469, 8.8469 Å; angles 90.00, 90.00, 90.00 degrees
Space group Fm-3m (No. 225)
One atom of each set of equivalent atoms:
Rb  0.2500  0.2500  0.2500
Na  0.0000  0.0000  0.0000
Tb  0.0000  0.0000  0.5000
F  0.0000  0.0000  0.2550

Values from the calculation:
Formation energy from raw total energies   -3.5372 eV per atom

The following is a DFT calculation (meta-GGA SCAN) of a crystal of RbCu2SiIr relaxed with PBEsol.

Cell lengths 4.5406, 4.5406, 5.0661 Å; angles 90.00, 90.00, 90.00 degrees
Space group P4/mmm (No. 123)
One atom of each set of equivalent atoms:
Rb  0.0000  0.0000  0.0000
Cu  0.0000  0.5000  0.0000
Si  0.0000  0.0000  0.5000
Ir  0.5000  0.5000  0.5000

Values from the calculation:
Formation energy from raw total energies   2.8262 eV per atom

The following is a DFT calculation (meta-GGA SCAN) of a crystal of Cr2RePb relaxed with PBEsol.

Cell lengths 2.9214, 3.7958, 5.6029 Å; angles 90.00, 90.00, 90.00 degrees
Space group Pmmm (No. 47)
One atom of each set of equivalent atoms:
Cr  0.0000  0.0000  0.1861
Re  0.5000  0.5000  0.0000
Pb  0.5000  0.5000  0.5000

Values from the calculation:
VASP energy   -45.34 eV/atom

The following is a DFT calculation (meta-GGA SCAN) of a crystal of PtO2F2 relaxed with PBEsol.

Cell lengths 3.8176, 3.8176, 3.5242 Å; angles 90.00, 90.00, 90.00 degrees
Space group P4/mmm (No. 123)
One atom of each set of equivalent atoms:
Pt  0.0000  0.0000  0.0000
O  0.5000  0.5000  0.0000
O  0.5000  0.5000  0.5000
F  0.0000  0.5000  0.5000

Values from the calculation:
Formation energy from raw total energies   1.0323 eV per atom